VASP calculation (PBE) on crystalline ZrVRh3 at its relaxed geometry.

Summary:
The value obtained for the calculated volume is 90.35 Å³/cell. The calculation puts the relative energy among the computed polymorphs at 0 meV per atom. The uncorrected energy is -38.693 eV for the cell shown. For the formation enthalpy at 0 K, the calculation gives 4.7 kcal/mol of atoms. Its space group is Pm-3m, No. 221.

Lattice parameters (Å, degrees): 4.487 4.487 4.487 90.00 90.00 90.00
Positions (direct):
Rh 0.000 0.500 0.000
Rh 0.000 0.000 0.500
Rh 0.500 0.000 0.000
Zr 0.500 0.500 0.500
V 0.000 0.000 0.000